1.
NdTl2InTe4: relaxed, GGA-PBE. Values from VASP.

Structure (Quantum ESPRESSO input):
```
&SYSTEM
  ibrav = 0, nat = 16, ntyp = 4
/
ATOMIC_SPECIES
Te 127.60 Te.upf
Tl 204.38 Tl.upf
In 114.82 In.upf
Nd 144.24 Nd.upf
CELL_PARAMETERS angstrom
-4.585 -0.408 8.080
1.283 -9.209 0.078
7.266 5.640 -0.875
ATOMIC_POSITIONS angstrom
Te 2.655 0.204 1.570
Tl 3.633 2.820 -0.438
In 1.982 -1.989 3.641
Te 1.309 -4.182 5.713
Te -0.592 -2.315 1.960
Te -3.129 -2.563 6.279
Te 4.556 -1.662 5.322
Tl 1.341 2.616 3.602
Te 7.093 -1.415 1.003
Tl -1.651 -4.809 4.079
In 2.682 5.232 7.204
Nd 0.641 -4.605 0.039
Tl -2.292 -0.204 4.040
Te 3.322 -4.028 1.629
Te 0.642 0.050 5.654
Nd -0.310 -2.193 7.681
```

Results
Its uncorrected formation energy is -638 meV/atom. The symmetry is Imma, No. 74. Its total energy is -3.74 eV/atom.

=====

2.
NdTmIn2Te4: relaxed, GGA-PBE. Values from VASP.

Structure (Quantum ESPRESSO input):
```
&SYSTEM
  ibrav = 0, nat = 8, ntyp = 4
/
ATOMIC_SPECIES
Te 127.60 Te.upf
Tm 168.93 Tm.upf
Nd 144.24 Nd.upf
In 114.82 In.upf
CELL_PARAMETERS angstrom
-0.775 2.983 3.206
0.155 -5.630 5.276
7.927 2.950 -0.830
ATOMIC_POSITIONS angstrom
Te 1.894 -3.567 3.777
Te 1.379 0.843 2.633
Tm 0.000 0.000 0.000
Te 5.928 -0.539 5.019
Nd -0.310 -1.323 4.241
In 4.041 -1.340 2.223
In 3.576 2.967 1.188
Te 6.188 0.888 0.669
```

Results
Its uncorrected formation energy is -964 meV/atom. The symmetry is P2/m, No. 10. Its total energy is -4.37 eV/atom.

=====

3.
Nd2TmIn3Te6: relaxed, GGA-PBE. Values from VASP.

Structure (Quantum ESPRESSO input):
```
&SYSTEM
  ibrav = 0, nat = 12, ntyp = 4
/
ATOMIC_SPECIES
Te 127.60 Te.upf
Nd 144.24 Nd.upf
Tm 168.93 Tm.upf
In 114.82 In.upf
CELL_PARAMETERS angstrom
7.753 0.000 0.000
-3.875 6.716 0.000
-1.293 -2.239 8.109
ATOMIC_POSITIONS angstrom
Te 3.837 2.308 6.309
Te -1.252 2.168 1.800
Nd 3.872 2.242 0.000
Te 2.627 4.548 1.826
Te 0.082 4.477 6.309
Tm 0.000 0.000 0.000
Nd 0.006 4.474 0.000
Te -0.042 -0.072 6.283
In -2.549 4.457 4.055
Te 2.503 -0.001 1.800
In 5.134 0.020 4.055
In 1.293 2.238 4.055
```

Results
Its uncorrected formation energy is -973 meV/atom. The symmetry is C2/m, No. 12. Its total energy is -4.40 eV/atom.

=====

4.
Nd2UIn3Te6: relaxed, GGA-PBE. Values from VASP.

Structure (Quantum ESPRESSO input):
```
&SYSTEM
  ibrav = 0, nat = 12, ntyp = 4
/
ATOMIC_SPECIES
Te 127.60 Te.upf
In 114.82 In.upf
Nd 144.24 Nd.upf
U 238.03 U.upf
CELL_PARAMETERS angstrom
7.757 0.000 0.001
-3.877 6.719 0.001
-1.293 -2.239 8.171
ATOMIC_POSITIONS angstrom
Te 3.859 2.277 6.331
Te -1.272 2.203 1.842
In -2.576 4.474 4.086
Te 0.043 4.480 6.331
Te 2.608 4.517 1.854
Te -0.022 -0.037 6.318
Nd 0.002 4.478 0.001
Te 2.544 -0.001 1.842
In 1.293 2.240 4.086
U 0.000 0.000 0.000
Nd 3.878 2.240 0.001
In 5.163 0.005 4.086
```

Results
Its uncorrected formation energy is -801 meV/atom. The symmetry is C2/m, No. 12. Its total energy is -4.79 eV/atom.

=====

5.
Nd2YIn3Te6: relaxed, GGA-PBE. Values from VASP.

Structure (Quantum ESPRESSO input):
```
&SYSTEM
  ibrav = 0, nat = 12, ntyp = 4
/
ATOMIC_SPECIES
In 114.82 In.upf
Te 127.60 Te.upf
Nd 144.24 Nd.upf
Y 88.91 Y.upf
CELL_PARAMETERS angstrom
7.776 0.000 -0.001
-3.886 6.735 -0.001
-1.298 -2.247 8.108
ATOMIC_POSITIONS angstrom
In 5.161 0.011 4.053
Te -0.029 -0.051 6.275
In 1.296 2.244 4.053
In -2.569 4.476 4.053
Te 2.621 4.538 1.831
Te 3.860 2.291 6.293
Nd 3.885 2.247 -0.001
Y 0.000 0.000 0.000
Te 0.055 4.489 6.293
Te -1.269 2.196 1.814
Nd 0.004 4.488 -0.001
Te 2.536 -0.001 1.814
```

Results
Its uncorrected formation energy is -989 meV/atom. The symmetry is C2/m, No. 12. Its total energy is -4.58 eV/atom.

=====

6.
Nd3YIn3Te8: relaxed, GGA-PBE. Values from VASP.

Structure (Quantum ESPRESSO input):
```
&SYSTEM
  ibrav = 0, nat = 15, ntyp = 4
/
ATOMIC_SPECIES
Te 127.60 Te.upf
Y 88.91 Y.upf
In 114.82 In.upf
Nd 144.24 Nd.upf
CELL_PARAMETERS angstrom
8.950 0.000 -0.001
-4.475 7.748 -0.028
-0.001 -5.135 7.919
ATOMIC_POSITIONS angstrom
Te 2.191 -1.310 2.145
Y 0.000 -2.567 3.960
Te 2.283 3.923 5.746
In 2.237 3.874 -0.014
In 0.000 0.000 0.000
Nd -2.238 1.307 3.946
Nd 2.237 1.307 3.945
Te -2.284 3.923 5.748
Te 4.476 0.021 5.808
In -2.237 3.874 -0.014
Nd 4.474 -2.567 3.959
Te 0.000 -0.032 5.760
Te -0.002 2.592 2.083
Te 4.474 2.645 2.130
Te 6.758 -1.310 2.143
```

Results
Its uncorrected formation energy is -1023 meV/atom. The symmetry is R-3m, No. 166. Its total energy is -4.63 eV/atom.

=====

7.
NdThIn2: relaxed, GGA-PBE. Values from VASP.

Structure (Quantum ESPRESSO input):
```
&SYSTEM
  ibrav = 0, nat = 4, ntyp = 3
/
ATOMIC_SPECIES
In 114.82 In.upf
Th 232.04 Th.upf
Nd 144.24 Nd.upf
CELL_PARAMETERS angstrom
-2.845 0.688 2.012
-1.773 -2.623 -1.609
3.008 -5.874 6.263
ATOMIC_POSITIONS angstrom
In 2.251 -4.395 4.686
In 0.757 -1.479 1.577
Th -2.309 -0.968 0.201
Nd -0.805 -3.905 3.333
```

Results
The symmetry is P4/mmm, No. 123. The value obtained for the energy of formation is -1.53 eV per formula unit. Its total energy is -4.80 eV/atom.

=====

8.
Nd3ThIn4: relaxed, GGA-PBE. Values from VASP.

Structure (Quantum ESPRESSO input):
```
&SYSTEM
  ibrav = 0, nat = 8, ntyp = 3
/
ATOMIC_SPECIES
In 114.82 In.upf
Nd 144.24 Nd.upf
Th 232.04 Th.upf
CELL_PARAMETERS angstrom
-3.164 -1.911 0.688
4.178 -6.397 1.447
-0.022 6.355 7.272
ATOMIC_POSITIONS angstrom
In 1.169 0.382 6.434
In 1.444 -4.819 3.533
In -0.177 -2.335 2.973
Nd 0.191 0.872 3.298
In -0.453 2.866 5.874
Nd 0.800 -2.825 6.109
Nd 2.089 -3.199 0.723
Th -1.582 -0.955 0.344
```

Results
The symmetry is Immm, No. 71. The value obtained for the energy of formation is -2.05 eV per formula unit. The offset from the most stable computed form comes out at 179.0 meV per atom. Its total energy is -4.34 eV/atom.

=====

9.
NdTh4In5: relaxed, GGA-PBE. Values from VASP.

Structure (Quantum ESPRESSO input):
```
&SYSTEM
  ibrav = 0, nat = 10, ntyp = 3
/
ATOMIC_SPECIES
Nd 144.24 Nd.upf
Th 232.04 Th.upf
In 114.82 In.upf
CELL_PARAMETERS angstrom
-0.182 -0.479 -3.491
-2.401 -2.542 0.474
-16.809 15.645 -1.272
ATOMIC_POSITIONS angstrom
Nd 0.000 0.000 0.000
Th -13.465 12.532 -1.019
Th -3.344 3.112 -0.253
In -13.072 9.454 -2.400
In -2.952 0.036 -1.634
In -9.696 6.312 -2.145
Th -10.095 9.395 -0.764
Th -6.715 6.250 -0.508
In -6.320 3.170 -1.889
In -16.440 12.589 -2.655
```

Results
The symmetry is P4/mmm, No. 123. The value obtained for the energy of formation is -3.24 eV per formula unit. Its total energy is -5.14 eV/atom.

=====

10.
Nd12ThIn6: relaxed, GGA-PBE. Values from VASP.

Structure (Quantum ESPRESSO input):
```
&SYSTEM
  ibrav = 0, nat = 19, ntyp = 3
/
ATOMIC_SPECIES
Nd 144.24 Nd.upf
In 114.82 In.upf
Th 232.04 Th.upf
CELL_PARAMETERS angstrom
-2.936 7.882 -0.256
-2.123 -0.991 -8.082
-7.635 -2.708 2.276
ATOMIC_POSITIONS angstrom
Nd -10.965 3.783 -3.100
Nd -1.728 0.400 -2.961
Nd -3.398 -0.589 -0.147
In -4.040 -0.519 -5.384
In -9.001 -1.046 -3.917
Nd -7.024 1.189 -5.435
Nd -2.222 2.611 -0.401
In -8.653 4.702 -0.677
Nd -10.471 1.572 -5.661
Nd -9.296 4.772 -5.915
Nd -8.639 1.549 -1.804
Nd -5.669 2.994 -0.627
Nd -5.887 -0.483 -2.571
In -6.722 0.053 0.627
Nd -6.806 4.667 -3.491
In -3.693 5.229 -2.145
Nd -4.054 2.634 -4.257
In -5.972 4.130 -6.688
Th 0.000 0.000 0.000
```

Results
The symmetry is R-3, No. 148. The value obtained for the energy of formation is -4.04 eV per formula unit. Its total energy is -4.48 eV/atom.

=====

11.
NdThIn2: relaxed, GGA-PBE. Values from VASP.

Structure (Quantum ESPRESSO input):
```
&SYSTEM
  ibrav = 0, nat = 4, ntyp = 3
/
ATOMIC_SPECIES
Nd 144.24 Nd.upf
Th 232.04 Th.upf
In 114.82 In.upf
CELL_PARAMETERS angstrom
3.534 0.000 0.000
1.767 3.061 0.000
1.767 1.020 10.969
ATOMIC_POSITIONS angstrom
Nd 3.534 2.040 5.485
Th 0.000 0.000 0.000
In 1.767 1.020 2.765
In 5.301 3.061 8.205
```

Results
The symmetry is R-3m, No. 166. The value obtained for the energy of formation is -0.78 eV per formula unit. Its total energy is -4.61 eV/atom.